Record 1
The following is a PBE calculation of an optimized crystal structure of Ti2InTc2, from Alexandria via LeMat-Bulk.

Values from the calculation:
E above lowest polymorph = 0.0 meV per atom
Total energy = -7.9197 eV per atom

```
Ti2InTc2
1.0
7.284 0.000 0.000
0.000 7.284 0.000
0.000 0.000 3.193
Ti In Tc
4 2 4
Direct
0.151 0.349 0.000
0.349 0.849 0.000
0.651 0.151 0.000
0.849 0.651 0.000
0.000 0.000 0.500
0.500 0.500 0.500
0.145 0.645 0.500
0.355 0.145 0.500
0.645 0.855 0.500
0.855 0.355 0.500
```


Record 2
The following is a PBE calculation of an optimized crystal structure of Tl2NiSe, from Alexandria via LeMat-Bulk.

Values from the calculation:
Formation energy from raw total energies = -3.4 kJ per mole of atoms
E above lowest polymorph = 135.9 meV per atom
Total energy = -3.5352 eV per atom

```
Tl2NiSe
1.0
-1.737 2.067 7.135
1.737 -2.067 7.135
1.737 2.067 -7.135
Tl Ni Se
2 1 1
Direct
0.000 0.000 0.000
0.700 0.200 0.500
0.428 0.428 0.000
0.323 0.823 0.500
```